1.
Density functional theory data (GGA-PBE) for crystalline KNaMg2Au at its relaxed geometry.

Summary:
Energy relative to the elements = -0.8 eV per formula unit
N(E_F) = 1.62 states/eV/f.u.

a b c (Å): 5.2637 5.2637 5.8194
angles (deg): 90.00 90.00 90.00
Positions (direct):
K1 0.5000 0.5000 0.5000
Na1 0.0000 0.0000 0.5000
Mg1 0.5000 0.0000 0.0000
Mg2 0.0000 0.5000 0.0000
Au1 0.0000 0.0000 0.0000

2.
Density functional theory data (GGA-PBE) for crystalline Lu3Tl5O12 at its relaxed geometry.

Summary:
ΔE_f (raw) = -1.6273 eV/atom
N(E_F) = 7.04 states/eV/f.u.

a b c (Å): 11.5227 11.5227 11.5227
angles (deg): 109.47 109.47 109.47
Positions (direct):
O1 0.0856 0.9154 0.1407
O2 0.9144 0.0846 0.8593
O3 0.5551 0.3298 0.9144
O4 0.0846 0.1702 0.2253
O5 0.0551 0.6407 0.7253
O6 0.1702 0.0856 0.9449
O7 0.1407 0.7253 0.5551
O8 0.2747 0.4154 0.8298
O9 0.6407 0.0551 0.2253
O10 0.9449 0.3593 0.2747
O11 0.5846 0.8593 0.4144
O12 0.4449 0.7747 0.8593
O13 0.1407 0.4154 0.0856
O14 0.9449 0.5856 0.1702
O15 0.4144 0.0551 0.3298
O16 0.7253 0.1407 0.0551
O17 0.9144 0.8298 0.5551
O18 0.8593 0.5846 0.9144
O19 0.2747 0.8593 0.9449
O20 0.5846 0.7253 0.6702
O21 0.5856 0.9449 0.6702
O22 0.7253 0.5846 0.1702
O23 0.4144 0.3593 0.5846
O24 0.9154 0.8298 0.7747
O25 0.3298 0.7747 0.4154
O26 0.2253 0.5551 0.6407
O27 0.7747 0.3298 0.9154
O28 0.4154 0.1407 0.5856
O29 0.8298 0.9144 0.0551
O30 0.6702 0.2253 0.5846
O31 0.5551 0.2253 0.1407
O32 0.5856 0.6407 0.4154
O33 0.0551 0.4144 0.8298
O34 0.9154 0.0856 0.6407
O35 0.8298 0.9154 0.2747
O36 0.7747 0.4449 0.3593
O37 0.0846 0.9144 0.3593
O38 0.2253 0.6702 0.0846
O39 0.4154 0.2747 0.3298
O40 0.6702 0.4449 0.5856
O41 0.3593 0.9449 0.7747
O42 0.1702 0.0846 0.7253
O43 0.4449 0.6702 0.0856
O44 0.8593 0.2747 0.4449
O45 0.0856 0.1702 0.4449
O46 0.6407 0.5856 0.9154
O47 0.3298 0.5551 0.4144
O48 0.3593 0.4144 0.0846
Lu1 0.1250 0.2500 0.8750
Lu2 0.2500 0.1250 0.3750
Lu3 0.3750 0.6250 0.2500
Lu4 0.3750 0.7500 0.6250
Lu5 0.6250 0.2500 0.3750
Lu6 0.8750 0.7500 0.1250
Lu7 0.8750 0.1250 0.2500
Lu8 0.1250 0.8750 0.7500
Lu9 0.7500 0.3750 0.1250
Lu10 0.2500 0.6250 0.8750
Lu11 0.6250 0.3750 0.7500
Lu12 0.7500 0.8750 0.6250
Tl1 0.6250 0.8750 0.2500
Tl2 0.0000 0.5000 0.5000
Tl3 0.0000 0.5000 0.0000
Tl4 0.2500 0.8750 0.1250
Tl5 0.3750 0.2500 0.1250
Tl6 0.2500 0.3750 0.6250
Tl7 0.8750 0.2500 0.6250
Tl8 0.7500 0.1250 0.8750
Tl9 0.7500 0.6250 0.3750
Tl10 0.8750 0.6250 0.7500
Tl11 0.5000 0.5000 0.0000
Tl12 0.1250 0.7500 0.3750
Tl13 0.6250 0.7500 0.8750
Tl14 0.5000 0.0000 0.5000
Tl15 0.5000 0.5000 0.5000
Tl16 0.0000 0.0000 0.0000
Tl17 0.5000 0.0000 0.0000
Tl18 0.1250 0.3750 0.2500
Tl19 0.3750 0.1250 0.7500
Tl20 0.0000 0.0000 0.5000

3.
Density functional theory data (GGA-PBE) for crystalline RbMnSnSe3 at its relaxed geometry.

Summary:
ΔE_f (raw) = -0.6179 eV/atom
N(E_F) = 2.84 states/eV/f.u.

a b c (Å): 4.2095 9.6387 10.0110
angles (deg): 107.55 90.00 90.00
Positions (direct):
Se1 0.7500 0.1907 0.5296
Se2 0.2500 0.1280 0.8589
Se3 0.2500 0.5411 0.8448
Se4 0.7500 0.8720 0.1411
Se5 0.2500 0.8093 0.4704
Se6 0.7500 0.4589 0.1552
Mn1 0.2500 0.0806 0.6058
Mn2 0.7500 0.9194 0.3942
Sn1 0.2500 0.6565 0.1321
Sn2 0.7500 0.3435 0.8679
Rb1 0.7500 0.8022 0.7686
Rb2 0.2500 0.1978 0.2314

4.
Density functional theory data (GGA-PBE) for crystalline Ac2Nd7Tm at its relaxed geometry.

Summary:
Energy relative to the elements = 1.5 eV per formula unit
N(E_F) = 16.45 states/eV/f.u.

a b c (Å): 3.6074 15.4060 15.4061
angles (deg): 154.27 90.00 90.00
Positions (direct):
Nd1 0.5000 0.8539 0.6637
Nd2 0.5000 0.5000 0.5000
Nd3 0.5000 0.3363 0.1461
Nd4 0.5000 0.6637 0.8539
Nd5 0.0000 0.1831 0.8169
Nd6 0.5000 0.1461 0.3363
Nd7 0.0000 0.8169 0.1831
Ac1 0.5000 0.7054 0.2946
Ac2 0.5000 0.2946 0.7054
Tm1 0.0000 0.0000 0.0000

5.
Density functional theory data (GGA-PBE) for crystalline CaTlPb3 at its relaxed geometry.

Summary:
Energy relative to the elements = -0.4 eV per formula unit
N(E_F) = 3.32 states/eV/f.u.

a b c (Å): 6.2606 6.6382 8.8044
angles (deg): 112.15 90.00 90.00
Positions (direct):
Pb1 0.0000 0.0000 0.0000
Pb2 0.2500 0.4043 0.2946
Pb3 0.2500 0.8903 0.2946
Pb4 0.7500 0.5957 0.7054
Pb5 0.7500 0.1097 0.7054
Pb6 0.5000 0.0000 0.0000
Tl1 0.7500 0.5632 0.1264
Tl2 0.2500 0.4368 0.8736
Ca1 0.7500 0.1778 0.3556
Ca2 0.2500 0.8222 0.6444

6.
Density functional theory data (GGA-PBE) for crystalline AcCeTmGa at its relaxed geometry.

Summary:
Energy relative to the elements = 0.3 eV per formula unit
N(E_F) = 8.60 states/eV/f.u.

a b c (Å): 5.4573 5.4573 5.4573
angles (deg): 60.00 60.00 60.00
Positions (direct):
Ac1 0.7500 0.7500 0.7500
Ga1 0.2500 0.2500 0.2500
Ce1 0.5000 0.5000 0.5000
Tm1 0.0000 0.0000 0.0000

7.
Density functional theory data (GGA-PBE) for crystalline Dy3Y8Er2 at its relaxed geometry.

Summary:
Energy relative to the elements = 3.1 eV per formula unit
N(E_F) = 23.55 states/eV/f.u.

a b c (Å): 5.6393 7.6332 10.7586
angles (deg): 110.78 90.04 90.00
Positions (direct):
Y1 0.5005 0.3967 0.2158
Y2 0.4995 0.1809 0.7842
Y3 0.9997 0.1336 0.2672
Y4 0.5005 0.8191 0.2158
Y5 0.0012 0.6704 0.3408
Y6 0.0003 0.8664 0.7328
Y7 0.9988 0.3296 0.6592
Y8 0.4995 0.6033 0.7842
Dy1 0.5000 0.0000 0.0000
Dy2 0.0000 0.7154 0.0000
Dy3 0.0000 0.2846 0.0000
Er1 0.4987 0.2414 0.4828
Er2 0.5013 0.7586 0.5172

8.
Density functional theory data (GGA-PBE) for crystalline Pm3Mg2Sn4 at its relaxed geometry.

Summary:
Energy relative to the elements = -5.1 eV per formula unit
N(E_F) = 3.27 states/eV/f.u.

a b c (Å): 4.6832 7.0989 8.5066
angles (deg): 109.91 105.92 90.08
Positions (direct):
Sn1 0.7838 0.7477 0.5698
Sn2 0.4913 0.6957 0.9831
Sn3 0.2162 0.2523 0.4302
Sn4 0.5087 0.3043 0.0169
Pm1 0.0000 0.0000 0.0000
Pm2 0.1304 0.6057 0.2616
Pm3 0.8696 0.3943 0.7384
Mg1 0.3283 0.0034 0.6583
Mg2 0.6717 0.9966 0.3417

The highest N(E_F) belongs to which entry? Dy3Y8Er2

N(E_F) of number 7 (Dy3Y8Er2)? 23.55 states/eV/f.u.

N(E_F) of number 2 (Lu3Tl5O12)? 7.04 states/eV/f.u.

The highest N(E_F) belongs to which entry? Dy3Y8Er2